# 1
The following is a DFT calculation (PBE) of RbMgTlSe3 after structural relaxation.

magnetic moment: 0.00 Bohr magnetons per cell
uncorrected formation energy: -0.7775 eV/atom
volume: 193.1 Å³/f.u.
symmetry: P2_1/m, No. 11

a = 4.085 Å, b = 8.386 Å, c = 12.140 Å
α = 111.78°, β = 90.00°, γ = 90.00°
Fractional coordinates of all 12 atoms:
Rb  0.250  0.276  0.278
Rb  0.750  0.724  0.722
Mg  0.250  0.656  0.091
Mg  0.750  0.344  0.909
Tl  0.250  0.189  0.655
Tl  0.750  0.811  0.345
Se  0.750  0.908  0.164
Se  0.250  0.092  0.836
Se  0.250  0.762  0.471
Se  0.750  0.238  0.529
Se  0.750  0.467  0.140
Se  0.250  0.533  0.860

---

# 2
The following is a DFT calculation (PBE) of RbMgUSe4 after structural relaxation.

magnetic moment: 2.00 Bohr magnetons per cell
D(E_F): 11.29 states/eV per cell
uncorrected formation energy: -1.0983 eV/atom
volume: 222.6 Å³/f.u.
symmetry: P2_1/m, No. 11

a = 7.037 Å, b = 7.162 Å, c = 10.506 Å
α = 90.00°, β = 122.77°, γ = 90.00°
Fractional coordinates of all 14 atoms:
Rb  0.620  0.750  0.939
Rb  0.380  0.250  0.061
Mg  0.208  0.750  0.342
Mg  0.792  0.250  0.658
U  0.782  0.750  0.453
U  0.218  0.250  0.547
Se  0.084  0.504  0.693
Se  0.916  0.004  0.307
Se  0.916  0.496  0.307
Se  0.084  0.996  0.693
Se  0.374  0.750  0.179
Se  0.626  0.250  0.821
Se  0.569  0.750  0.602
Se  0.431  0.250  0.398

---

# 3
The following is a DFT calculation (PBE) of Rb2MgUSe6 after structural relaxation.

magnetic moment: 0.00 Bohr magnetons per cell
D(E_F): 6.58 states/eV per cell
uncorrected formation energy: -0.9678 eV/atom
volume: 306.3 Å³/f.u.
symmetry: Immm, No. 71

a = 7.569 Å, b = 7.569 Å, c = 7.540 Å
α = 60.10°, β = 60.10°, γ = 90.02°
Fractional coordinates of all 10 atoms:
Rb  0.250  0.750  0.500
Rb  0.750  0.250  0.500
Mg  0.000  0.000  0.000
U  0.500  0.500  0.000
Se  0.251  0.749  0.000
Se  0.749  0.749  0.000
Se  0.251  0.251  0.499
Se  0.749  0.251  0.000
Se  0.251  0.251  0.000
Se  0.749  0.749  0.501

---

# 4
The following is a DFT calculation (PBE) of Rb2MgUSe5 after structural relaxation.

magnetic moment: 1.47 Bohr magnetons per cell
D(E_F): 7.63 states/eV per cell
uncorrected formation energy: -1.0852 eV/atom
volume: 316.4 Å³/f.u.
symmetry: Cmc2_1, No. 36

a = 4.220 Å, b = 10.306 Å, c = 14.867 Å
α = 90.00°, β = 90.00°, γ = 101.81°
Fractional coordinates of all 18 atoms:
Rb  0.873  0.746  0.810
Rb  0.098  0.197  0.669
Rb  0.127  0.254  0.310
Rb  0.902  0.803  0.169
Mg  0.572  0.144  0.939
Mg  0.428  0.856  0.439
U  0.786  0.572  0.523
U  0.214  0.428  0.023
Se  0.340  0.681  0.999
Se  0.702  0.404  0.899
Se  0.506  0.012  0.798
Se  0.279  0.558  0.642
Se  0.921  0.843  0.545
Se  0.660  0.319  0.499
Se  0.298  0.596  0.399
Se  0.494  0.988  0.298
Se  0.721  0.442  0.142
Se  0.079  0.157  0.045